1.
{
  "formula": "TbSmTm2Au4",
  "functional": "PBE-GGA",
  "state": "relaxed",
  "lattice": [[5.086, 0.000, 0.000], [2.543, 4.404, 0.000], [2.543, 1.468, 8.350]],
  "species": ["Tb", "Sm", "Tm", "Tm", "Au", "Au", "Au", "Au"],
  "fractional_positions": [[0.500, 0.500, 0.500], [0.000, 0.000, 0.000], [0.750, 0.750, 0.749], [0.250, 0.250, 0.251], [0.377, 0.377, 0.868], [0.873, 0.873, 0.380], [0.127, 0.127, 0.620], [0.623, 0.623, 0.132]],
  "dos_ef_per_ev_fu": 3.629,
  "density_g_cm3": 12.7,
  "ef_mev_per_atom": -851.3
}

2.
{
  "formula": "Sc2NiP",
  "functional": "PBE-GGA",
  "state": "relaxed",
  "lattice": [[-2.849, 1.043, 2.196], [0.285, -3.216, 1.898], [3.393, 2.264, 3.327]],
  "species": ["Sc", "Sc", "Ni", "P"],
  "fractional_positions": [[0.000, 0.000, 0.876], [0.500, 0.500, 0.374], [0.000, 0.000, 0.376], [0.500, 0.500, 0.874]],
  "dos_ef_per_ev_fu": 1.892,
  "density_g_cm3": 4.0,
  "ef_mev_per_atom": -710.8
}

3.
{
  "formula": "BaHgIO6",
  "functional": "PBE-GGA",
  "state": "relaxed",
  "lattice": [[-4.485, 3.250, 1.800], [-3.574, -1.898, 3.938], [3.118, 2.297, 4.033]],
  "species": ["Ba", "Hg", "I", "O", "O", "O", "O", "O", "O"],
  "fractional_positions": [[0.994, 0.013, 0.000], [0.665, 0.670, 0.500], [0.329, 0.342, 0.500], [0.049, 0.343, 0.321], [0.366, 0.047, 0.706], [0.608, 0.343, 0.679], [0.067, 0.596, 0.713], [0.335, 0.598, 0.288], [0.587, 0.048, 0.293]],
  "e_form_raw_ev_per_atom": -0.876,
  "dos_ef_per_ev_fu": 4.168,
  "density_g_cm3": 5.9
}

4.
{
  "formula": "La2HoTh",
  "functional": "PBE-GGA",
  "state": "relaxed",
  "lattice": [[-2.473, -1.683, -2.026], [-5.052, -4.942, 3.856], [-10.398, 4.640, 2.427]],
  "species": ["La", "La", "La", "La", "Ho", "Ho", "Th", "Th"],
  "fractional_positions": [[0.630, 0.130, 0.740], [0.370, 0.870, 0.260], [0.730, 0.271, 0.000], [0.270, 0.729, 0.000], [0.135, 0.635, 0.731], [0.865, 0.365, 0.269], [0.000, 0.500, 0.500], [0.500, 0.000, 0.500]],
  "dos_ef_per_ev_fu": 5.596,
  "density_g_cm3": 8.2,
  "relative_energy_mev_per_atom": 0,
  "ef_mev_per_atom": 23.4
}

5.
{
  "formula": "Sr2ZnAs2",
  "functional": "PBE-GGA",
  "state": "relaxed",
  "lattice": [[-2.489, 2.230, 2.248], [-2.444, -3.171, 0.441], [2.025, -2.905, 8.731]],
  "species": ["Sr", "Sr", "As", "As", "Zn"],
  "fractional_positions": [[0.388, 0.388, 0.225], [0.612, 0.612, 0.775], [0.750, 0.250, 0.500], [0.250, 0.750, 0.500], [0.000, 0.000, 0.000]],
  "dos_ef_per_ev_fu": 2.249,
  "density_g_cm3": 4.5,
  "ef_mev_per_atom": -393.0
}

6.
{
  "formula": "Hf4RhAu",
  "functional": "PBE-GGA",
  "state": "relaxed",
  "lattice": [[-2.231, 5.227, -0.829], [-4.140, -2.506, -4.657], [-5.134, -0.781, 4.984]],
  "species": ["Hf", "Hf", "Hf", "Hf", "Hf", "Hf", "Hf", "Hf", "Rh", "Rh", "Au", "Au"],
  "fractional_positions": [[0.812, 0.682, 0.236], [0.688, 0.182, 0.764], [0.427, 0.355, 0.360], [0.073, 0.855, 0.640], [0.188, 0.318, 0.764], [0.312, 0.818, 0.236], [0.573, 0.645, 0.640], [0.927, 0.145, 0.360], [0.500, 0.000, 0.500], [0.000, 0.500, 0.500], [0.000, 0.000, 0.000], [0.500, 0.500, 0.000]],
  "dos_ef_per_ev_fu": 5.351,
  "density_g_cm3": 12.2,
  "relative_energy_mev_per_atom": 403,
  "ef_mev_per_atom": -134.5
}

7.
{
  "formula": "VPdSN2",
  "functional": "PBE-GGA",
  "state": "relaxed",
  "lattice": [[3.686, 0.000, 0.000], [0.000, 3.686, 0.000], [0.000, 0.000, 5.110]],
  "species": ["S", "N", "N", "Pd", "V"],
  "fractional_positions": [[0.000, 0.000, 0.500], [0.000, 0.500, 0.000], [0.500, 0.000, 0.000], [0.500, 0.500, 0.500], [0.000, 0.000, 0.000]],
  "e_form_raw_ev_per_atom": 0.412,
  "dos_ef_per_ev_fu": 3.949,
  "density_g_cm3": 5.2,
  "relative_energy_mev_per_atom": 0
}

8.
{
  "formula": "VSb2TeIr",
  "functional": "PBE-GGA",
  "state": "relaxed",
  "lattice": [[5.048, 0.000, 0.000], [0.000, 5.048, 0.000], [0.000, 0.000, 5.534]],
  "species": ["Sb", "Sb", "Ir", "Te", "V"],
  "fractional_positions": [[0.000, 0.500, 0.000], [0.500, 0.000, 0.000], [0.000, 0.000, 0.000], [0.000, 0.000, 0.500], [0.500, 0.500, 0.500]],
  "e_form_raw_ev_per_atom": 1.031,
  "dos_ef_per_ev_fu": 7.412,
  "density_g_cm3": 7.2,
  "relative_energy_mev_per_atom": 83
}

9.
{
  "formula": "BaCaIr2",
  "functional": "PBE-GGA",
  "state": "relaxed",
  "lattice": [[-7.107, 0.108, -1.882], [2.729, -4.523, 0.856], [-2.193, -0.877, 2.341]],
  "species": ["Ca", "Ir", "Ir", "Ba"],
  "fractional_positions": [[0.500, 0.500, 0.000], [0.000, 0.000, 0.000], [0.500, 0.000, 0.500], [0.000, 0.500, 0.500]],
  "dos_ef_per_ev_fu": 3.319,
  "density_g_cm3": 10.1,
  "relative_energy_mev_per_atom": 548,
  "ef_mev_per_atom": 289.9
}

10.
{
  "formula": "LaSmAl4",
  "functional": "PBE-GGA",
  "state": "relaxed",
  "lattice": [[-5.397, 1.704, -0.678], [-4.224, -2.814, 2.594], [-2.791, 2.419, 4.341]],
  "species": ["Al", "Al", "Al", "Al", "Sm", "La"],
  "fractional_positions": [[0.625, 0.625, 0.125], [0.625, 0.125, 0.625], [0.625, 0.625, 0.625], [0.125, 0.625, 0.625], [0.250, 0.250, 0.250], [0.000, 0.000, 0.000]],
  "dos_ef_per_ev_fu": 5.014,
  "density_g_cm3": 5.0,
  "ef_mev_per_atom": -494.4
}

11.
{
  "formula": "Li3Y2Ge4",
  "functional": "PBE-GGA",
  "state": "relaxed",
  "lattice": [[-4.502, 2.607, 2.596], [-4.681, -4.888, -3.209], [3.010, -5.974, 4.709]],
  "species": ["Li", "Li", "Li", "Li", "Li", "Li", "Y", "Y", "Y", "Y", "Ge", "Ge", "Ge", "Ge", "Ge", "Ge", "Ge", "Ge"],
  "fractional_positions": [[0.000, 0.000, 0.000], [0.500, 0.500, 0.000], [0.524, 0.750, 0.547], [0.976, 0.250, 0.453], [0.476, 0.250, 0.453], [0.024, 0.750, 0.547], [0.106, 0.597, 0.213], [0.894, 0.403, 0.787], [0.394, 0.097, 0.787], [0.606, 0.903, 0.213], [0.693, 0.750, 0.886], [0.807, 0.250, 0.114], [0.307, 0.250, 0.114], [0.193, 0.750, 0.886], [0.173, 0.981, 0.346], [0.827, 0.019, 0.654], [0.327, 0.481, 0.654], [0.673, 0.519, 0.346]],
  "dos_ef_per_ev_fu": 3.446,
  "density_g_cm3": 4.9,
  "ef_mev_per_atom": -500.4
}

12.
{
  "formula": "Pr4Pd5Au2",
  "functional": "PBE-GGA",
  "state": "relaxed",
  "lattice": [[3.991, 0.000, 0.000], [0.000, 7.440, 0.231], [0.000, -0.435, 8.585]],
  "species": ["Pr", "Pr", "Pr", "Pr", "Pd", "Pd", "Pd", "Pd", "Pd", "Au", "Au"],
  "fractional_positions": [[0.500, 0.743, 0.620], [0.500, 0.245, 0.882], [0.500, 0.257, 0.380], [0.500, 0.755, 0.118], [0.000, 0.533, 0.330], [0.000, 0.146, 0.121], [0.000, 0.500, 0.000], [0.000, 0.854, 0.879], [0.000, 0.467, 0.670], [0.000, 0.096, 0.638], [0.000, 0.904, 0.362]],
  "dos_ef_per_ev_fu": 3.253,
  "density_g_cm3": 9.7,
  "ef_mev_per_atom": -776.5
}